The following is a DFT calculation (PBE with a Hubbard U) of an optimized crystal structure of CaCoAgF6.

Raw total energy ... -4.69 eV per atom

Unit cell a=5.628 b=5.628 c=9.596 alpha=90.00 beta=90.00 gamma=120.00
Atoms (fractional coordinates):
Ca1 0.333 0.667 0.250
Ca2 0.667 0.333 0.750
Co1 0.333 0.667 0.750
Co2 0.667 0.333 0.250
Ag1 0.000 0.000 0.000
Ag2 0.000 0.000 0.500
F1 0.054 0.393 0.640
F2 0.054 0.661 0.860
F3 0.339 0.393 0.860
F4 0.339 0.946 0.640
F5 0.393 0.054 0.140
F6 0.393 0.339 0.360
F7 0.607 0.661 0.640
F8 0.607 0.946 0.860
F9 0.661 0.054 0.360
F10 0.661 0.607 0.140
F11 0.946 0.339 0.140
F12 0.946 0.607 0.360